A relaxed Si2GePb2 crystal. Source: Alexandria via LeMat-Bulk, functional PBE-GGA.

## Properties
As for the raw total energy: -42.171 eV for the cell shown. Its energy relative to the elements, uncorrected is 359 meV per atom. As for the volume: 236.0 Å³ per cell.

Structure (CIF):
```
data_Si2GePb2
_cell_length_a 6.6556
_cell_length_b 6.6556
_cell_length_c 5.3269
_cell_angle_alpha 90.00
_cell_angle_beta 90.00
_cell_angle_gamma 90.00
_space_group_name_H-M_alt 'P 4/m b m'
_space_group_IT_number 127
_space_group_name_Hall '-P 4 2ab'
loop_
_atom_site_label
_atom_site_type_symbol
_atom_site_fract_x
_atom_site_fract_y
_atom_site_fract_z
Si1 Si 0.1270 0.3730 0.0000
Ge1 Ge 0.0000 0.0000 0.0000
Pb1 Pb 0.1946 0.6946 0.5000
```